Tl2CoO | the Alexandria database | GGA+U | optimized geometry; theoretical density = 10.31 g/cm³; electronic total energy = -13.3 eV/cell; energy above the lowest structure with this stoichiometry = 0.253 eV/atom
1.0
3.631 0.794 3.027
-0.895 1.152 4.566
0.939 -3.145 3.494
Co Tl O
1 2 1
Direct
0.500 0.500 0.500 Co
0.250 0.250 0.250 Tl
0.750 0.750 0.750 Tl
0.000 0.000 0.000 O